Record 1
! GdErNi2 PBE relaxed; values from VASP
&SYSTEM
  ibrav = 0, nat = 4, ntyp = 3
/
ATOMIC_SPECIES
Gd 157.25 Gd.upf
Ni 58.69 Ni.upf
Er 167.26 Er.upf
CELL_PARAMETERS angstrom
-3.567 -2.332 2.162
0.969 -3.335 3.282
-0.953 0.834 4.608
ATOMIC_POSITIONS angstrom
Gd -1.775 -2.417 5.026
Ni -0.888 -1.208 2.513
Ni -2.663 -3.625 7.538
Er 0.000 0.000 0.000
! magnetic moment	7.234	Bohr magnetons per cell
! space-group type	Fm-3m
! uncorrected energy	-7.931	eV/atom

=====

Record 2
! Gd3ErNi PBE relaxed; values from VASP
&SYSTEM
  ibrav = 0, nat = 5, ntyp = 3
/
ATOMIC_SPECIES
Er 167.26 Er.upf
Gd 157.25 Gd.upf
Ni 58.69 Ni.upf
CELL_PARAMETERS angstrom
-2.371 -4.126 -2.439
0.480 -2.912 4.459
-4.769 1.758 1.662
ATOMIC_POSITIONS angstrom
Er -3.330 -2.640 1.841
Gd 0.240 -1.456 2.229
Gd -2.384 0.879 0.831
Gd -1.185 -2.063 -1.220
Ni 0.000 0.000 0.000
! magnetic moment	23.537	Bohr magnetons per cell
! space-group type	Pm-3m
! uncorrected energy	-10.532	eV/atom

=====

Record 3
! GdErNi4 PBE relaxed; values from VASP
&SYSTEM
  ibrav = 0, nat = 6, ntyp = 3
/
ATOMIC_SPECIES
Ni 58.69 Ni.upf
Gd 157.25 Gd.upf
Er 167.26 Er.upf
CELL_PARAMETERS angstrom
5.065 0.000 0.000
2.532 4.386 0.000
2.532 1.462 4.136
ATOMIC_POSITIONS angstrom
Ni 5.065 2.924 0.521
Ni 6.328 3.653 2.583
Ni 3.802 3.653 2.583
Ni 5.065 1.466 2.583
Gd 0.000 0.000 0.000
Er 2.532 1.462 1.034
! magnetic moment	7.084	Bohr magnetons per cell
! space-group type	F-43m
! uncorrected energy	-7.408	eV/atom